# MgPaP2 (PBE, relaxed)
data_MgPaP2
_chemical_formula_sum 'Mg2 Pa2 P4'
_cell_length_a 3.621
_cell_length_b 4.732
_cell_length_c 9.813
_cell_angle_alpha 90.00
_cell_angle_beta 90.00
_cell_angle_gamma 90.00
_space_group_name_H-M_alt 'P m m n'
_space_group_IT_number 59
loop_
_space_group_symop_operation_xyz
'x,y,z'
'-x,-y,-z'
'-x+1/2,-y+1/2,z'
'x+1/2,y+1/2,-z'
'x+1/2,-y,-z'
'-x+1/2,y,z'
'-x,y+1/2,-z'
'x,-y+1/2,z'
loop_
_atom_site_label
_atom_site_type_symbol
_atom_site_fract_x
_atom_site_fract_y
_atom_site_fract_z
Mg1 Mg 0.250 0.250 0.113
Pa1 Pa 0.250 0.750 0.358
P1 P 0.250 0.750 0.089
P2 P 0.250 0.750 0.648
# calculated formation energy = -2.39 eV per formula unit
# total moment = 0.001 μB/cell
# polymorph energy (0 for the lowest one) = 0.286 eV/atom

=====

# NdPaPb (PBE, relaxed)
data_NdPaPb
_chemical_formula_sum 'Nd1 Pa1 Pb1'
_cell_length_a 5.3958
_cell_length_b 5.3958
_cell_length_c 3.2939
_cell_angle_alpha 90.00
_cell_angle_beta 90.00
_cell_angle_gamma 120.00
_space_group_name_H-M_alt 'P -6 m 2'
_space_group_IT_number 187
_space_group_name_Hall 'P -6 2'
loop_
_atom_site_label
_atom_site_type_symbol
_atom_site_fract_x
_atom_site_fract_y
_atom_site_fract_z
Nd1 Nd 0.0000 0.0000 0.0000
Pa1 Pa 0.3333 0.6667 0.0000
Pb1 Pb 0.6667 0.3333 0.5000
# calculated formation energy = 0.78 eV per formula unit
# total moment = 0.457 μB/cell
# polymorph energy (0 for the lowest one) = 0.172 eV/atom

=====

# LiInP2 (PBE, relaxed)
data_LiInP2
_chemical_formula_sum 'Li1 In1 P2'
_cell_length_a 2.942
_cell_length_b 3.889
_cell_length_c 7.226
_cell_angle_alpha 90.00
_cell_angle_beta 90.00
_cell_angle_gamma 90.00
_space_group_name_H-M_alt 'P m m 2'
_space_group_IT_number 25
_space_group_name_Hall 'P 2 -2'
loop_
_atom_site_label
_atom_site_type_symbol
_atom_site_fract_x
_atom_site_fract_y
_atom_site_fract_z
Li1 Li 0.000 0.000 0.000
In1 In 0.500 0.500 0.528
P1 P 0.000 0.000 0.353
P2 P 0.500 0.500 0.878
# calculated formation energy = 0.14 eV per formula unit
# total moment = 0.000 μB/cell

=====

# NaMnPt (PBE, relaxed)
data_NaMnPt
_chemical_formula_sum 'Na2 Mn2 Pt2'
_cell_length_a 4.894
_cell_length_b 3.823
_cell_length_c 6.170
_cell_angle_alpha 90.00
_cell_angle_beta 90.04
_cell_angle_gamma 90.00
_space_group_name_H-M_alt 'P 1 21/m 1'
_space_group_IT_number 11
_space_group_name_Hall '-P 2yb'
loop_
_atom_site_label
_atom_site_type_symbol
_atom_site_fract_x
_atom_site_fract_y
_atom_site_fract_z
Na1 Na 0.249 0.250 0.098
Mn1 Mn 0.109 0.750 0.474
Pt1 Pt 0.383 0.250 0.624
# calculated formation energy = 0.66 eV per formula unit
# total moment = 0.000 μB/cell
# polymorph energy (0 for the lowest one) = 0.300 eV/atom

=====

# YF (PBE, relaxed)
data_YF
_chemical_formula_sum 'Y8 F8'
_cell_length_a 6.014
_cell_length_b 6.051
_cell_length_c 8.115
_cell_angle_alpha 90.00
_cell_angle_beta 90.00
_cell_angle_gamma 90.00
_space_group_name_H-M_alt 'P 21 21 21'
_space_group_IT_number 19
_space_group_name_Hall 'P 2ac 2ab'
loop_
_atom_site_label
_atom_site_type_symbol
_atom_site_fract_x
_atom_site_fract_y
_atom_site_fract_z
Y1 Y 0.030 0.210 0.404
Y2 Y 0.036 0.214 0.846
F1 F 0.074 0.824 0.375
F2 F 0.243 0.006 0.625
# total moment = 0.000 μB/cell
# polymorph energy (0 for the lowest one) = 0.083 eV/atom

=====

# Sm5Ho3Mg2 (PBE, relaxed)
data_Sm5Ho3Mg2
_chemical_formula_sum 'Sm20 Ho12 Mg8'
_cell_length_a 8.134
_cell_length_b 22.117
_cell_length_c 7.009
_cell_angle_alpha 90.00
_cell_angle_beta 90.00
_cell_angle_gamma 90.00
_space_group_name_H-M_alt 'I b a m'
_space_group_IT_number 72
_space_group_name_Hall '-I 2 2c'
loop_
_atom_site_label
_atom_site_type_symbol
_atom_site_fract_x
_atom_site_fract_y
_atom_site_fract_z
Sm1 Sm 0.000 0.000 0.250
Sm2 Sm 0.000 0.337 0.250
Sm3 Sm 0.161 0.220 0.000
Ho1 Ho 0.000 0.500 0.250
Ho2 Ho 0.182 0.116 0.500
Mg1 Mg 0.242 0.080 0.000
# calculated formation energy = 1.35 eV per formula unit
# total moment = 0.000 μB/cell

=====

# AcEr2Fe (PBE, relaxed)
data_AcEr2Fe
_chemical_formula_sum 'Ac3 Er6 Fe3'
_cell_length_a 3.6611
_cell_length_b 3.6611
_cell_length_c 31.7889
_cell_angle_alpha 90.00
_cell_angle_beta 90.00
_cell_angle_gamma 120.00
_space_group_name_H-M_alt 'R -3 m'
_space_group_IT_number 166
_space_group_name_Hall '-R 3 2"'
loop_
_atom_site_label
_atom_site_type_symbol
_atom_site_fract_x
_atom_site_fract_y
_atom_site_fract_z
Ac1 Ac 0.0000 0.0000 0.0000
Er1 Er 0.0000 0.0000 0.1153
Fe1 Fe 0.0000 0.0000 0.5000
# calculated formation energy = 1.23 eV per formula unit
# total moment = 2.265 μB/cell
# polymorph energy (0 for the lowest one) = 0.197 eV/atom

=====

# AcHIr (PBE, relaxed)
data_AcHIr
_chemical_formula_sum 'Ac2 H2 Ir2'
_cell_length_a 4.207
_cell_length_b 4.207
_cell_length_c 7.323
_cell_angle_alpha 90.00
_cell_angle_beta 90.00
_cell_angle_gamma 90.00
_space_group_name_H-M_alt 'I 4 m m'
_space_group_IT_number 107
_space_group_name_Hall 'I 4 -2'
loop_
_atom_site_label
_atom_site_type_symbol
_atom_site_fract_x
_atom_site_fract_y
_atom_site_fract_z
Ac1 Ac 0.000 0.000 0.000
H1 H 0.000 0.000 0.338
Ir1 Ir 0.000 0.000 0.559
# total moment = 0.000 μB/cell
# polymorph energy (0 for the lowest one) = 0.319 eV/atom

=====

# ScTlAg3 (PBE, relaxed)
data_ScTlAg3
_chemical_formula_sum 'Sc1 Tl1 Ag3'
_cell_length_a 5.314
_cell_length_b 5.314
_cell_length_c 5.314
_cell_angle_alpha 90.00
_cell_angle_beta 90.00
_cell_angle_gamma 90.00
_space_group_name_H-M_alt 'P m -3 m'
_space_group_IT_number 221
_space_group_name_Hall '-P 4 2 3'
loop_
_atom_site_label
_atom_site_type_symbol
_atom_site_fract_x
_atom_site_fract_y
_atom_site_fract_z
Sc1 Sc 0.000 0.000 0.000
Tl1 Tl 0.500 0.500 0.500
Ag1 Ag 0.000 0.000 0.500
# calculated formation energy = 3.30 eV per formula unit
# total moment = 0.000 μB/cell
# polymorph energy (0 for the lowest one) = 0.000 eV/atom

=====

Number 1: DOS at the Fermi energy 0.959 states/eV/atom, electronic total energy -0.22329 Ha/atom. Number 2: DOS at the Fermi energy 1.839 states/eV/atom, electronic total energy -0.21058 Ha/atom. Number 3: DOS at the Fermi energy 0.484 states/eV/atom, electronic total energy -0.14085 Ha/atom. Number 4: DOS at the Fermi energy 0.446 states/eV/atom, electronic total energy -0.19446 Ha/atom. Number 5: DOS at the Fermi energy 0.247 states/eV/atom, electronic total energy -0.24529 Ha/atom. Number 6: DOS at the Fermi energy 1.038 states/eV/atom, electronic total energy -0.14396 Ha/atom. Number 7: DOS at the Fermi energy 0.827 states/eV/atom, electronic total energy -0.18800 Ha/atom. Number 8: DOS at the Fermi energy 0.405 states/eV/atom, electronic total energy -0.20913 Ha/atom. Number 9: DOS at the Fermi energy 0.551 states/eV/atom, electronic total energy -0.10251 Ha/atom.